First-principles (PBE) data for an optimized crystal structure of RbMnPb2Au, as listed in Alexandria.

```
RbMnPb2Au
1.0
6.211 0.000 0.000
0.000 5.674 0.000
0.000 0.000 6.211
Pb Mn Au Rb
2 1 1 1
direct
0.000 0.000 0.500
0.500 0.000 0.000
0.500 0.500 0.500
0.000 0.500 0.000
0.000 0.000 0.000
```

Results
Energy of formation from the pure elements ... 7.5 eV per formula unit

=====

First-principles (PBE) data for an optimized crystal structure of MgNpAl2O8, as listed in Alexandria.

```
MgNpAl2O8
1.0
-5.608 -0.967 -0.442
2.854 -4.850 0.955
0.902 3.543 4.384
Mg Np Al O
1 1 2 8
direct
0.000 0.000 0.000
0.250 0.750 0.500
0.750 0.250 0.500
0.500 0.500 0.000
0.368 0.062 0.307
0.325 0.529 0.203
0.325 0.122 0.797
0.755 0.062 0.693
0.878 0.675 0.203
0.938 0.245 0.307
0.938 0.632 0.693
0.471 0.675 0.797
```

Results
Uncorrected formation energy ... -2700 kJ/mol of formula units

=====

First-principles (PBE) data for an optimized crystal structure of LiYSi3, as listed in Alexandria.

```
LiYSi3
1.0
-2.769 -2.560 -3.772
4.522 -2.105 -1.890
-0.582 -4.179 3.263
Y Si Li
1 3 1
direct
0.000 0.000 0.000
0.000 0.500 0.000
0.000 0.000 0.500
0.500 0.000 0.000
0.500 0.500 0.500
```

Results
Uncorrected formation energy ... 422 kJ/mol of formula units
Distance to the lowest polymorph of the same formula ... 3.37 eV per formula unit

=====

First-principles (PBE) data for an optimized crystal structure of La16Dy6Tm7, as listed in Alexandria.

```
La16Dy6Tm7
1.0
3.357 -10.674 -2.358
8.747 -1.796 -7.145
9.973 -3.880 4.033
La Dy Tm
16 6 7
direct
0.875 0.875 0.376
0.875 0.875 0.875
0.875 0.376 0.875
0.376 0.875 0.875
0.125 0.125 0.125
0.125 0.125 0.624
0.125 0.624 0.125
0.624 0.125 0.125
0.647 0.647 0.058
0.647 0.647 0.647
0.647 0.058 0.647
0.058 0.647 0.647
0.353 0.353 0.353
0.353 0.353 0.942
0.353 0.942 0.353
0.942 0.353 0.353
0.259 0.741 0.259
0.741 0.259 0.741
0.741 0.259 0.259
0.259 0.741 0.741
0.741 0.741 0.259
0.259 0.259 0.741
0.000 0.000 0.000
0.500 0.000 0.500
0.000 0.500 0.000
0.000 0.500 0.500
0.500 0.000 0.000
0.000 0.000 0.500
0.500 0.500 0.000
```

Results
Energy of formation from the pure elements ... 5.4 eV per formula unit

=====

First-principles (PBE) data for an optimized crystal structure of NaHf2Br8, as listed in Alexandria.

```
NaHf2Br8
1.0
9.173 0.004 0.000
0.003 7.076 -4.088
0.000 -0.002 8.178
Na Hf Br
1 2 8
direct
0.000 0.000 0.000
0.298 0.334 0.667
0.702 0.666 0.333
0.432 0.668 0.334
0.568 0.332 0.666
0.791 0.833 0.165
0.209 0.168 0.333
0.211 0.669 0.834
0.209 0.167 0.835
0.791 0.832 0.668
0.789 0.331 0.165
```

Results
Uncorrected formation energy ... -1289 kJ/mol of formula units
Distance to the lowest polymorph of the same formula ... 0.28 eV per formula unit

=====

First-principles (PBE) data for an optimized crystal structure of GaCoSi2Pd, as listed in Alexandria.

```
GaCoSi2Pd
1.0
4.649 0.000 0.000
0.000 4.633 0.000
0.000 0.000 4.649
Si Co Ga Pd
2 1 1 1
direct
0.000 0.000 0.500
0.500 0.000 0.000
0.500 0.500 0.500
0.000 0.000 0.000
0.000 0.500 0.000
```

Results
Uncorrected formation energy ... 546 kJ/mol of formula units

=====

First-principles (PBE) data for an optimized crystal structure of MgTl3F, as listed in Alexandria.

```
MgTl3F
1.0
5.235 0.000 0.000
0.000 5.235 0.000
0.000 0.000 5.235
Tl Mg F
3 1 1
direct
0.000 0.500 0.000
0.000 0.000 0.500
0.500 0.000 0.000
0.500 0.500 0.500
0.000 0.000 0.000
```

Results
Uncorrected formation energy ... -244 kJ/mol of formula units
Distance to the lowest polymorph of the same formula ... 0.00 eV per formula unit

=====

First-principles (PBE) data for an optimized crystal structure of PmThSc2, as listed in Alexandria.

```
PmThSc2
1.0
3.530 0.000 0.000
0.000 5.772 -0.367
0.000 -1.119 5.675
Pm Th Sc
1 1 2
direct
0.500 0.500 0.500
0.500 0.000 0.000
0.000 0.500 0.000
0.000 0.000 0.500
```

Results
Distance to the lowest polymorph of the same formula ... 0.03 eV per formula unit
Energy of formation from the pure elements ... 0.1 eV per formula unit

=====

no.,energy (eV per cell)
1,-13.3
2,-89.7
3,-20.3
4,-132.3
5,-48.0
6,-20.5
7,-13.1
8,-24.7